# CaPrV2O6

A relaxed structure of CaPrV2O6 (PBE+U, Alexandria via LeMat-Bulk).

## Properties
- energy (eV per atom) = -7.77

Lattice parameters (Å, degrees): 7.602 5.662 5.499 90.00 90.00 90.00
Fractional coordinates of all 20 atoms:
Ca1 0.000 0.200 0.000
Ca2 0.500 0.800 0.500
Pr1 0.000 0.701 0.525
Pr2 0.500 0.299 0.025
V1 0.249 0.247 0.512
V2 0.251 0.753 0.012
V3 0.749 0.753 0.012
V4 0.751 0.247 0.512
O1 0.000 0.264 0.435
O2 0.000 0.768 0.087
O3 0.207 0.452 0.804
O4 0.210 0.953 0.720
O5 0.290 0.047 0.220
O6 0.293 0.548 0.304
O7 0.500 0.232 0.587
O8 0.500 0.736 0.935
O9 0.707 0.548 0.304
O10 0.710 0.047 0.220
O11 0.790 0.953 0.720
O12 0.793 0.452 0.804